Entry 1:
VASP calculation (GGA-PBEsol) on YZnOs2 after structural relaxation.

Space group: Pmmm
D(E_F), states/eV per cell: 3.52
ΔH_f (0 K), eV per atom: 0.30

a = 3.0725 Å, b = 4.4489 Å, c = 4.7378 Å
α = 90.00°, β = 90.00°, γ = 90.00°
With the nearest neighbours (Å) after each atom.
Fractional coordinates of all 4 atoms:
Os  0.0000  0.0000  0.0000  4 Y 2.70, 4 Os 2.82
Os  0.5000  0.0000  0.5000  4 Zn 2.70, 4 Os 2.82
Y  0.5000  0.5000  0.0000  4 Os 2.70, 4 Zn 2.82
Zn  0.0000  0.5000  0.5000  4 Os 2.70, 4 Y 2.82

***

Entry 2:
VASP calculation (GGA-PBEsol) on ZnTcC2 after structural relaxation.

Space group: I-42d
D(E_F), states/eV per cell: 3.85
ΔH_f (0 K), eV per atom: 0.77

a = 4.6368 Å, b = 4.6368 Å, c = 5.6223 Å
α = 114.35°, β = 114.35°, γ = 90.00°
With the nearest neighbours (Å) after each atom.
Fractional coordinates of all 8 atoms:
C  0.3446  0.8750  0.2500  2 Tc 1.92, 2 Zn 2.08
C  0.9054  0.3750  0.2500  2 Tc 1.92, 2 Zn 2.08
C  0.1250  0.0946  0.7500  2 Tc 1.92, 2 Zn 2.08
C  0.6250  0.6554  0.7500  2 Tc 1.92, 2 Zn 2.08
Zn  0.7500  0.2500  0.5000  4 C 2.08
Zn  0.5000  0.5000  0.0000  4 C 2.08
Tc  0.2500  0.7500  0.5000  4 C 1.92
Tc  0.0000  0.0000  0.0000  4 C 1.92

***

Entry 3:
VASP calculation (GGA-PBEsol) on KLa2GaO after structural relaxation.

Formation energy without anion corrections, eV/atom: 1.18
Space group: P4/mmm
D(E_F), states/eV per cell: 4.01

a = 4.6387 Å, b = 5.3828 Å, c = 5.3828 Å
α = 90.00°, β = 90.00°, γ = 90.00°
With the nearest neighbours (Å) after each atom.
Fractional coordinates of all 5 atoms:
K  0.0000  0.0000  0.0000  2 Ga 2.32
O  0.5000  0.5000  0.5000  8 La 3.55, 4 Ga 3.81
Ga  0.5000  0.0000  0.0000  2 K 2.32
La  0.0000  0.0000  0.5000  2 K 2.69
La  0.0000  0.5000  0.0000  2 K 2.69

***

Entry 4:
VASP calculation (GGA-PBEsol) on RbAuC2S2N2 after structural relaxation.

Formation energy without anion corrections, eV/atom: -0.06
Space group: C2/c
D(E_F), states/eV per cell: 0.00

a = 5.9374 Å, b = 7.6907 Å, c = 17.1833 Å
α = 83.90°, β = 80.05°, γ = 67.29°
With the nearest neighbours (Å) after each atom.
Fractional coordinates of all 32 atoms:
Rb  0.1494  0.2186  0.4506  4 N 2.96-2.99, 1 C 3.30
Rb  0.8186  0.2814  0.0494  4 N 2.96-2.99, 1 C 3.30
Rb  0.1814  0.7186  0.9506  4 N 2.96-2.99, 1 C 3.30
Rb  0.8506  0.7814  0.5494  4 N 2.96-2.99, 1 C 3.30
Au  0.3222  0.7500  0.2500  2 S 2.31
Au  0.6778  0.2500  0.7500  2 S 2.31
Au  0.8211  0.7500  0.2500  2 S 2.31
Au  0.1789  0.2500  0.7500  2 S 2.31
C  0.4488  0.4013  0.5914  1 N 1.18
C  0.7211  0.0733  0.3579  1 N 1.18
C  0.2789  0.9267  0.6421  1 N 1.18
C  0.4416  0.0987  0.9086  1 N 1.18
C  0.5512  0.5987  0.4086  1 N 1.18
C  0.1523  0.4267  0.1421  1 N 1.18
C  0.8477  0.5733  0.8579  1 N 1.18
C  0.5584  0.9013  0.0914  1 N 1.18
S  0.2894  0.8822  0.1234  1 C 1.65
S  0.3630  0.9314  0.7284  1 C 1.65
S  0.7050  0.3822  0.6234  1 C 1.65
S  0.7106  0.1178  0.8766  1 C 1.65
S  0.0228  0.5686  0.7716  1 C 1.65
S  0.9772  0.4314  0.2284  1 C 1.65
S  0.2950  0.6178  0.3766  1 C 1.65
S  0.6370  0.0686  0.2716  1 C 1.65
N  0.2695  0.4191  0.5653  1 C 1.18
N  0.2326  0.9159  0.5790  1 C 1.18
N  0.2539  0.0809  0.9347  1 C 1.18
N  0.7275  0.5841  0.9210  1 C 1.18
N  0.2725  0.4159  0.0790  1 C 1.18
N  0.7461  0.9191  0.0653  1 C 1.18
N  0.7674  0.0841  0.4210  1 C 1.18
N  0.7305  0.5809  0.4347  1 C 1.18

***

Entry 5:
VASP calculation (GGA-PBEsol) on Ba4Ti2PtO10 after structural relaxation.

Formation energy without anion corrections, eV/atom: -2.65
Space group: Cmce
D(E_F), states/eV per cell: 0.00

a = 5.7654 Å, b = 7.2735 Å, c = 13.0778 Å
α = 90.00°, β = 90.00°, γ = 113.35°
With the nearest neighbours (Å) after each atom.
Fractional coordinates of all 34 atoms:
Ba  0.0300  0.0601  0.3592  8 O 2.66-2.89
Ba  0.2653  0.5306  0.6064  9 O 2.73-3.04
Ba  0.7653  0.5306  0.8936  9 O 2.73-3.04
Ba  0.4700  0.9399  0.8592  8 O 2.66-2.89
Ba  0.5300  0.0601  0.1408  8 O 2.66-2.89
Ba  0.2347  0.4694  0.1064  9 O 2.73-3.04
Ba  0.9700  0.9399  0.6408  8 O 2.66-2.89
Ba  0.7347  0.4694  0.3936  9 O 2.73-3.04
Ti  0.3634  0.7269  0.3449  3 O 1.79-1.91
Ti  0.1366  0.2731  0.8449  3 O 1.79-1.91
Ti  0.6366  0.2731  0.6551  3 O 1.79-1.91
Ti  0.8634  0.7269  0.1551  3 O 1.79-1.91
Pt  0.5000  0.0000  0.5000  6 O 2.02-2.03
Pt  0.0000  0.0000  0.0000  6 O 2.02-2.03
O  0.9651  0.9302  0.8487  1 Pt 2.03
O  0.7708  0.5416  0.6509  1 Ti 1.79
O  0.1164  0.7801  0.0374  1 Pt 2.02, 1 Ti 2.05
O  0.6164  0.7801  0.4626  1 Pt 2.02, 1 Ti 2.05
O  0.8728  0.2457  0.7500  2 Ti 1.91
O  0.3728  0.2457  0.7500  2 Ti 1.91
O  0.2292  0.4584  0.3491  1 Ti 1.79
O  0.4651  0.9302  0.6513  1 Pt 2.03
O  0.1272  0.7543  0.2500  2 Ti 1.91
O  0.6638  0.7801  0.0374  1 Pt 2.02, 1 Ti 2.05
O  0.7292  0.4584  0.1509  1 Ti 1.79
O  0.0349  0.0698  0.1513  1 Pt 2.03
O  0.6272  0.7543  0.2500  2 Ti 1.91
O  0.3836  0.2199  0.5374  1 Pt 2.02, 1 Ti 2.05
O  0.8836  0.2199  0.9626  1 Pt 2.02, 1 Ti 2.05
O  0.2708  0.5416  0.8491  1 Ti 1.79
O  0.8362  0.2199  0.5374  1 Pt 2.02, 1 Ti 2.05
O  0.3362  0.2199  0.9626  1 Pt 2.02, 1 Ti 2.05
O  0.5349  0.0698  0.3487  1 Pt 2.03
O  0.1638  0.7801  0.4626  1 Pt 2.02, 1 Ti 2.05

***

Entry 6:
VASP calculation (GGA-PBEsol) on Be2MoAsRu after structural relaxation.

Space group: P4/mmm
D(E_F), states/eV per cell: 3.70
ΔH_f (0 K), eV per atom: 1.18

a = 3.9601 Å, b = 3.9601 Å, c = 4.7335 Å
α = 90.00°, β = 90.00°, γ = 90.00°
With the nearest neighbours (Å) after each atom.
Fractional coordinates of all 5 atoms:
Ru  0.5000  0.5000  0.5000  4 Mo 2.80, 8 Be 3.09
Mo  0.0000  0.0000  0.5000  2 As 2.37
As  0.0000  0.0000  0.0000  4 Be 1.98
Be  0.0000  0.5000  0.0000  2 As 1.98
Be  0.5000  0.0000  0.0000  2 As 1.98